{"formula": "NaCoAsAu", "functional": "PBE", "state": "relaxed", "e_form_ev_per_atom": -0.30, "magnetic_moment_mub_per_atom": 0.0026, "lattice_angstrom": [[-3.753, -0.302, 0.752], [-0.740, -0.166, -3.764], [0.897, -10.451, 0.284]], "species": ["As", "Co", "Na", "Na", "As", "Au", "Au", "Co"], "frac_coords": [[0.250, 0.250, 0.125], [0.250, 0.750, 0.000], [0.750, 0.750, 0.266], [0.250, 0.250, 0.734], [0.750, 0.750, 0.875], [0.250, 0.750, 0.500], [0.750, 0.250, 0.500], [0.750, 0.250, 0.000]]}